Computed, not measured: Zn2CuTc after structural relaxation at the PBE level of DFT.

Cell lengths 4.2750, 4.2750, 4.2750 Å; angles 60.00, 60.00, 60.00 degrees
Each line ends with the local moment (μB).
Element x y z (fractional)
Cu 0.5000 0.5000 0.5000  0.07
Tc 0.7500 0.7500 0.7500  1.00
Zn 0.0000 0.0000 0.0000  0.00
Zn 0.2500 0.2500 0.2500  -0.02

Total energy ... -4.0208 eV/atom
Formation enthalpy at 0 K ... 5.344 kcal/mol of atoms
Calculated volume ... 55.2 Å³/cell